DFT (PBE-GGA) results for crystalline Na6TiCl8 at its relaxed geometry.

It has space group Fm-3m (No. 225), with a = 11.318 Å, b = 11.318 Å, c = 11.318 Å, α = 90.00°, β = 90.00° and γ = 90.00°. The distinct sites, in fractional coordinates, are Na at (0.000, 0.250, 0.250), Ti at (0.000, 0.000, 0.000), Cl at (0.000, 0.000, 0.227) and Cl at (0.250, 0.250, 0.250).

The formation energy from raw total energies is -1708 meV/atom. As for the density of states at the Fermi level: 43.279 states/eV per cell.